Run P
An optimized crystal structure of LiTb2Pu, computed with PBE. Values from VASP.

```
&SYSTEM
  ibrav = 0, nat = 4, ntyp = 3
/
ATOMIC_SPECIES
Li 6.94 Li.upf
Tb 158.93 Tb.upf
Pu 244.00 Pu.upf
ATOMIC_POSITIONS angstrom
Li 0.0000 0.0000 0.0000
Tb 0.0000 0.0000 13.7689
Tb 0.0000 0.0000 19.3666
Pu 0.0000 0.0000 27.6137
CELL_PARAMETERS angstrom
1.7360 1.0023 11.0461
-1.7360 1.0023 11.0461
0.0000 -2.0046 11.0461
```

=====

Run Q
An optimized crystal structure of LiTb2Pu, computed with PBE. Values from VASP.

```
&SYSTEM
  ibrav = 0, nat = 4, ntyp = 3
/
ATOMIC_SPECIES
Li 6.94 Li.upf
Tb 158.93 Tb.upf
Pu 244.00 Pu.upf
ATOMIC_POSITIONS angstrom
Li 0.0000 0.0000 0.0000
Tb 0.0000 0.0000 14.6676
Tb 0.0000 0.0000 21.1862
Pu 0.0000 0.0000 17.9269
CELL_PARAMETERS angstrom
1.6752 0.9672 11.9513
-1.6752 0.9672 11.9513
0.0000 -1.9343 11.9513
```

=====

Best to worst by energy: run P, run Q.

=====

Run P
An optimized crystal structure of LiTb2Pu, computed with PBE. Values from VASP.

```
&SYSTEM
  ibrav = 0, nat = 4, ntyp = 3
/
ATOMIC_SPECIES
Li 6.94 Li.upf
Tb 158.93 Tb.upf
Pu 244.00 Pu.upf
ATOMIC_POSITIONS angstrom
Li 0.0000 0.0000 0.0000
Tb 0.0000 2.7839 1.7675
Tb 2.7839 0.0000 1.7675
Pu 2.7839 2.7839 0.0000
CELL_PARAMETERS angstrom
5.5677 0.0000 0.0000
0.0000 5.5677 0.0000
0.0000 0.0000 3.5349
```

=====

Run Q
An optimized crystal structure of LiTb2Pu, computed with PBE. Values from VASP.

```
&SYSTEM
  ibrav = 0, nat = 4, ntyp = 3
/
ATOMIC_SPECIES
Li 6.94 Li.upf
Tb 158.93 Tb.upf
Pu 244.00 Pu.upf
ATOMIC_POSITIONS angstrom
Li 0.0000 0.0000 0.0000
Tb 1.7294 1.7294 2.2166
Tb 1.7294 1.7294 7.0580
Pu 0.0000 0.0000 4.6373
CELL_PARAMETERS angstrom
3.4588 0.0000 0.0000
0.0000 3.4588 0.0000
0.0000 0.0000 9.2745
```

=====

Best to worst by energy: run Q, run P.